1.
VASP calculation (SCAN) on a PBEsol-optimized structure of Li2ZnAs.

Results
DOS(E_F) ... 0.665 states/eV/cell
Symmetry ... No. 225

Cell lengths 4.348, 4.348, 4.348 Å; angles 60.00, 60.00, 60.00 degrees
Element x y z (fractional)
Li 0.250 0.250 0.250
Li 0.750 0.750 0.750
Zn 0.000 0.000 0.000
As 0.500 0.500 0.500



2.
VASP calculation (SCAN) on a PBEsol-optimized structure of Sm2AgIr.

Results
DOS(E_F) ... 2.491 states/eV/cell
Symmetry ... No. 225

Cell lengths 4.985, 4.985, 4.985 Å; angles 60.00, 60.00, 60.00 degrees
Element x y z (fractional)
Sm 0.250 0.250 0.250
Sm 0.750 0.750 0.750
Ag 0.000 0.000 0.000
Ir 0.500 0.500 0.500



| no. | E_form (meV/atom) |
| --- | --- |
| 1 | -405 |
| 2 | -634 |